(1)
First-principles (PBE) data for an optimized crystal structure of TaMo2Se, as listed in Alexandria.

Computed properties:
Magnetic moment   0.00 μB/f.u.
E_form (uncorrected)   0.126 eV/atom

Unit cell a=5.412 b=5.412 c=4.332 alpha=66.38 beta=66.38 gamma=34.54
Fractional positions:
Se1 0.250 0.250 0.250
Mo1 0.998 0.998 0.003
Ta1 0.750 0.750 0.750
Mo2 0.502 0.502 0.497


(2)
First-principles (PBE) data for an optimized crystal structure of LiAl2Rh3, as listed in Alexandria.

Computed properties:
Energy of formation   -0.806 eV/atom
Magnetic moment   0.00 μB/f.u.

Unit cell a=2.990 b=2.990 c=8.863 alpha=90.00 beta=90.00 gamma=90.00
Fractional positions:
Al1 0.500 0.500 0.823
Li1 0.500 0.500 0.500
Rh1 0.000 0.000 0.334
Rh2 0.000 0.000 0.000
Rh3 0.000 0.000 0.666
Al2 0.500 0.500 0.177


(3)
First-principles (PBE) data for an optimized crystal structure of SmEuMg, as listed in Alexandria.

Computed properties:
Energy of formation   -0.014 eV/atom
Magnetic moment   7.27 μB/f.u.

Unit cell a=3.849 b=3.849 c=7.164 alpha=105.58 beta=105.58 gamma=90.00
Fractional positions:
Eu1 0.013 0.013 0.026
Mg1 0.673 0.673 0.346
Sm1 0.314 0.314 0.628


(4)
First-principles (PBE) data for an optimized crystal structure of SrBe2Se, as listed in Alexandria.

Computed properties:
Magnetic moment   0.00 μB/f.u.
E_form (uncorrected)   0.091 eV/atom

Unit cell a=7.562 b=7.562 c=6.090 alpha=51.62 beta=51.62 gamma=90.00
Fractional positions:
Be1 0.375 0.449 0.750
Se1 0.500 0.500 0.000
Sr1 0.000 0.000 0.000
Be2 0.551 0.125 0.250
Be3 0.199 0.625 0.250
Sr2 0.750 0.250 0.500
Be4 0.875 0.801 0.750
Se2 0.250 0.750 0.500


(5)
First-principles (PBE) data for an optimized crystal structure of Fe2NiAs, as listed in Alexandria.

Computed properties:
Energy of formation   0.226 eV/atom
Magnetic moment   4.73 μB/f.u.

Unit cell a=8.088 b=8.088 c=8.088 alpha=19.17 beta=19.17 gamma=19.17
Fractional positions:
Fe1 0.500 0.500 0.500
Fe2 0.000 0.000 0.000
Ni1 0.750 0.750 0.750
As1 0.250 0.250 0.250


(6)
First-principles (PBE) data for an optimized crystal structure of MgSe, as listed in Alexandria.

Computed properties:
Magnetic moment   0.00 μB/f.u.
E_form (uncorrected)   -1.177 eV/atom

Unit cell a=8.350 b=8.350 c=8.350 alpha=30.32 beta=30.32 gamma=30.32
Fractional positions:
Mg1 0.788 0.788 0.788
Se1 0.098 0.098 0.098
Mg2 0.212 0.212 0.212
Se2 0.902 0.902 0.902